Computed, not measured: crystalline Ho2AlPt at its relaxed geometry at the PBE level of DFT.

## Properties
The total energy comes out at -5.589 eV per atom. As for the formation energy: -0.85 eV per atom. As for the density of states at the Fermi level: 4.511 states/eV/cell.

```
data_Ho2AlPt
_chemical_formula_sum 'Ho4 Al2 Pt2'
_cell_length_a 5.9778
_cell_length_b 4.4087
_cell_length_c 7.5131
_cell_angle_alpha 90.00
_cell_angle_beta 110.85
_cell_angle_gamma 90.00
_space_group_name_H-M_alt 'P 1 21/m 1'
_space_group_IT_number 11
loop_
_space_group_symop_operation_xyz
'x,y,z'
'-x,-y,-z'
'-x,y+1/2,-z'
'x,-y+1/2,z'
loop_
_atom_site_label
_atom_site_type_symbol
_atom_site_fract_x
_atom_site_fract_y
_atom_site_fract_z
Ho1 Ho 0.1693 0.2500 0.4079
Ho2 Ho 0.2634 0.7500 0.0714
Al1 Al 0.3839 0.7500 0.7100
Pt1 Pt 0.1666 0.2500 0.7911
```